VASP calculation (PBE) on an optimized crystal structure of HfMg6Bi.

Output
**E**: -2.887 eV per atom
**Calculated formation energy**: 39 meV/atom
**Total magnetization**: 0.00 μB per formula unit
**Crystal system**: orthorhombic
**DOS at the Fermi energy**: 0.608 states/eV per atom
**Energy relative to the lowest polymorph listed for this composition**: 0.0 meV/atom

Unit cell a=6.4367 b=6.4367 c=5.3289 alpha=90.00 beta=90.00 gamma=122.58
Last column: nearest neighbours and their distance in Å.
Sites, in units of the cell vectors:
Mg  0.1824  0.3385  0.0000  7 Mg 2.96-3.24, 2 Hf 3.22, 2 Bi 3.28
Mg  0.3282  0.1669  0.5000  8 Mg 3.06-3.24, 2 Hf 3.20-3.23, 2 Bi 3.22
Mg  0.6636  0.3364  0.0000  10 Mg 3.09-3.33, 2 Bi 3.26
Mg  0.1714  0.8286  0.0000  10 Mg 3.09-3.24, 2 Hf 3.21
Mg  0.6615  0.8176  0.0000  7 Mg 2.96-3.24, 2 Hf 3.22, 2 Bi 3.28
Mg  0.8331  0.6718  0.5000  8 Mg 3.06-3.24, 2 Hf 3.20-3.23, 2 Bi 3.22
Hf  0.3300  0.6700  0.5000  2 Bi 3.09, 10 Mg 3.20-3.23
Bi  0.8299  0.1701  0.5000  2 Hf 3.09, 10 Mg 3.22-3.28

VASP calculation (PBE) on an optimized crystal structure of LaDy4.

Output
**E**: -4.648 eV per atom
**Calculated formation energy**: 19 meV/atom
**Total magnetization**: 0.00 μB per formula unit
**Crystal system**: monoclinic
**DOS at the Fermi energy**: 1.231 states/eV per atom
**Energy relative to the lowest polymorph listed for this composition**: 0.0 meV/atom

Unit cell a=3.5837 b=3.5837 c=14.7136 alpha=83.09 beta=83.09 gamma=60.01
Last column: nearest neighbours and their distance in Å.
Sites, in units of the cell vectors:
Dy  0.8002  0.8002  0.5985  12 Dy 3.53-3.58
Dy  0.5989  0.5989  0.2054  9 Dy 3.53-3.58, 3 La 3.64
Dy  0.4011  0.4011  0.7946  9 Dy 3.53-3.58, 3 La 3.64
Dy  0.1998  0.1998  0.4015  12 Dy 3.53-3.58
La  0.0000  0.0000  0.0000  6 La 3.58, 6 Dy 3.64

VASP calculation (PBE) on an optimized crystal structure of YMgRe2Au.

Output
**E**: -5.110 eV per atom
**Calculated formation energy**: 2136 meV/atom
**Total magnetization**: 3.15 μB per formula unit
**Crystal system**: tetragonal
**DOS at the Fermi energy**: 1.016 states/eV per atom

Unit cell a=4.9382 b=5.2946 c=4.9382 alpha=90.00 beta=90.00 gamma=90.00
Last column: nearest neighbours and their distance in Å.
Sites, in units of the cell vectors:
Au  0.0000  0.5000  0.0000  2 Y 2.65
Mg  0.5000  0.5000  0.5000  4 Au 3.49, 8 Re 3.62
Y  0.0000  0.0000  0.0000  4 Re 2.47, 2 Au 2.65
Re  0.5000  0.0000  0.0000  2 Y 2.47
Re  0.0000  0.0000  0.5000  2 Y 2.47

VASP calculation (PBE) on an optimized crystal structure of Cs12Au6F.

Output
**ΔE_f (raw)**: -8.81 eV/f.u.
**E**: -2.136 eV per atom
**Total magnetization**: 0.00 μB per formula unit
**Crystal system**: trigonal
**DOS at the Fermi energy**: 0.836 states/eV per atom

Unit cell a=10.3076 b=10.3076 c=10.3076 alpha=98.91 beta=98.91 gamma=98.91
Last column: nearest neighbours and their distance in Å.
Sites, in units of the cell vectors:
Cs  0.6968  0.9347  0.0247  1 F 3.15
Cs  0.9753  0.3032  0.0653  1 F 3.15
Cs  0.1794  0.4316  0.5843  4 Au 3.59-3.94
Cs  0.4157  0.8206  0.5684  4 Au 3.59-3.94
Cs  0.0247  0.6968  0.9347  1 F 3.15
Cs  0.8206  0.5684  0.4157  4 Au 3.59-3.94
Cs  0.5684  0.4157  0.8206  4 Au 3.59-3.94
Cs  0.3032  0.0653  0.9753  1 F 3.15
Cs  0.0653  0.9753  0.3032  1 F 3.15
Cs  0.9347  0.0247  0.6968  1 F 3.15
Cs  0.4316  0.5843  0.1794  4 Au 3.59-3.94
Cs  0.5843  0.1794  0.4316  4 Au 3.59-3.94
Au  0.8733  0.3671  0.7093  7 Cs 3.59-3.94
Au  0.1267  0.6329  0.2907  7 Cs 3.59-3.94
Au  0.6329  0.2907  0.1267  7 Cs 3.59-3.94
Au  0.7093  0.8733  0.3671  7 Cs 3.59-3.94
Au  0.3671  0.7093  0.8733  7 Cs 3.59-3.94
Au  0.2907  0.1267  0.6329  7 Cs 3.59-3.94
F  0.0000  0.0000  0.0000  6 Cs 3.15